1.
VASP calculation (PBEsol) on crystalline NaBAsSe2 at its relaxed geometry.

Computed properties:
Energy above the most stable polymorph in this dataset in eV per formula unit: 7.157
Formation energy without anion corrections in meV per atom: 1720
D(E_F) in states/eV/f.u.: 5.643
SG: P4/mmm (123)

Unit cell a=4.869 b=5.019 c=5.019 alpha=90.00 beta=90.00 gamma=90.00
Positions (direct):
1 Na 0.000 0.000 0.000
2 Se 0.000 0.000 0.500
3 As 0.500 0.000 0.000
4 B 0.500 0.500 0.500
5 Se 0.000 0.500 0.000

***

2.
VASP calculation (PBEsol) on crystalline NbBAs2 at its relaxed geometry.

Computed properties:
ΔH_f (0 K) in meV per atom: 312
D(E_F) in states/eV/f.u.: 3.833
SG: I-42d (122)

Unit cell a=5.672 b=5.672 c=5.672 alpha=94.60 beta=117.38 gamma=117.38
Positions (direct):
1 B 0.500 0.250 0.750
2 As 0.924 0.375 0.799
3 As 0.424 0.549 0.625
4 B 0.000 0.500 0.500
5 Nb 0.500 0.750 0.250
6 As 0.076 0.875 0.451
7 Nb 0.000 0.000 0.000
8 As 0.576 0.201 0.125

***

3.
VASP calculation (PBEsol) on crystalline BAsO2 at its relaxed geometry.

Computed properties:
Formation energy without anion corrections in meV per atom: -1128
D(E_F) in states/eV/f.u.: 1.618
SG: I-42d (122)

Unit cell a=4.664 b=4.800 c=4.664 alpha=60.93 beta=90.00 gamma=119.07
Positions (direct):
1 B 0.250 0.500 0.250
2 B 0.500 0.000 0.500
3 As 0.000 0.000 0.000
4 O 0.332 0.750 0.875
5 O 0.418 0.750 0.375
6 As 0.750 0.500 0.750
7 O 0.875 0.250 0.418
8 O 0.375 0.250 0.332

***

4.
VASP calculation (PBEsol) on crystalline BAsPbO5 at its relaxed geometry.

Computed properties:
Formation energy without anion corrections in meV per atom: -1646
D(E_F) in states/eV/f.u.: 0.000
SG: P3_1 (144)

Unit cell a=6.915 b=7.164 c=7.164 alpha=120.00 beta=90.00 gamma=90.00
Positions (direct):
1 O 0.444 0.135 0.606
2 B 0.099 0.093 0.109
3 Pb 0.455 0.400 0.002
4 O 0.569 0.045 0.986
5 O 0.783 0.816 0.683
6 O 0.791 0.591 0.167
7 As 0.957 0.409 0.007
8 O 0.124 0.833 0.424
9 Pb 0.122 0.601 0.600
10 O 0.145 0.155 0.339
11 O 0.902 0.014 0.058
12 O 0.458 0.576 0.409
13 B 0.432 0.891 0.985
14 O 0.811 0.185 0.845
15 O 0.450 0.867 0.184
16 O 0.236 0.942 0.955
17 O 0.116 0.317 0.133
18 As 0.623 0.597 0.591
19 B 0.766 0.015 0.907
20 Pb 0.789 0.998 0.399
21 O 0.111 0.471 0.865
22 As 0.290 0.993 0.403
23 O 0.478 0.661 0.815
24 O 0.777 0.394 0.529

***

Question: Which formula does entry 3 have?
Answer: BAsO2